The following is a PBE calculation of a relaxed structure of Ac8Tb3Pr2, from Alexandria via LeMat-Bulk.

Results
The symmetry is P-1 (2). The calculation puts the total energy at -4.283 eV/atom. For the energy relative to the elements, the calculation gives 0.0491 eV/atom. As for the volume: 40.5 Å³ per atom.

Cell: 6.679 6.700 12.144 Å, 90.15 100.68 99.69°
Atoms (fractional coordinates):
Ac 0.043 0.414 0.149
Ac 0.196 0.119 0.778
Ac 0.343 0.806 0.382
Ac 0.419 0.656 0.696
Ac 0.581 0.344 0.304
Ac 0.657 0.194 0.618
Ac 0.804 0.881 0.222
Ac 0.957 0.586 0.851
Tb 0.276 0.961 0.073
Tb 0.500 0.500 0.000
Tb 0.724 0.039 0.927
Pr 0.113 0.267 0.463
Pr 0.887 0.733 0.537